*a*
Compound: YSeIO2
Source: Alexandria via LeMat-Bulk
Functional: GGA-PBE
Structure: optimized geometry

V (Å³/atom): 26.54

Lattice parameters (Å, degrees): 4.2545 4.2545 7.3297 90.00 90.00 90.00
With the nearest neighbours (Å) after each atom.
Sites, in units of the cell vectors:
I (0.0000, 0.0000, 0.5000)  4 Se 3.01
O (0.0000, 0.5000, 0.0000)  2 Y 2.13
O (0.5000, 0.0000, 0.0000)  2 Y 2.13
Se (0.5000, 0.5000, 0.5000)  4 I 3.01
Y (0.0000, 0.0000, 0.0000)  4 O 2.13

***

*b*
Compound: YSeIO2
Source: Alexandria via LeMat-Bulk
Functional: GGA-PBE
Structure: optimized geometry

V (Å³/atom): 20.02

Lattice parameters (Å, degrees): 4.1657 4.1657 5.7672 90.00 90.00 90.00
With the nearest neighbours (Å) after each atom.
Sites, in units of the cell vectors:
I (0.0000, 0.0000, 0.5000)  2 Se 2.88, 4 Y 2.95
Y (0.5000, 0.5000, 0.5000)  4 I 2.95
O (0.5000, 0.0000, 0.0000)  2 Se 2.08
O (0.0000, 0.5000, 0.0000)  2 Se 2.08
Se (0.0000, 0.0000, 0.0000)  4 O 2.08

***

Least stable structure: *b*

***

*a*
Compound: ZnSeI2O
Source: Alexandria via LeMat-Bulk
Functional: GGA-PBE
Structure: optimized geometry

V (Å³/atom): 26.79

Lattice parameters (Å, degrees): 5.9148 5.9148 3.8288 90.00 90.00 90.00
With the nearest neighbours (Å) after each atom.
Sites, in units of the cell vectors:
O (0.0000, 0.0000, 0.5000)  2 Se 1.91
Zn (0.5000, 0.5000, 0.5000)  8 I 3.52, 2 Zn 3.83
I (0.0000, 0.5000, 0.0000)  2 Se 2.96
Se (0.0000, 0.0000, 0.0000)  2 O 1.91
I (0.5000, 0.0000, 0.0000)  2 Se 2.96

***

*b*
Compound: ZnSeI2O
Source: Alexandria via LeMat-Bulk
Functional: GGA-PBE
Structure: optimized geometry

V (Å³/atom): 24.52

Lattice parameters (Å, degrees): 5.8130 5.8130 3.6278 90.00 90.00 90.00
With the nearest neighbours (Å) after each atom.
Sites, in units of the cell vectors:
O (0.0000, 0.0000, 0.5000)  2 Zn 1.81
I (0.5000, 0.0000, 0.0000)  2 Zn 2.91
Se (0.5000, 0.5000, 0.5000)  8 I 3.43, 2 Se 3.63
Zn (0.0000, 0.0000, 0.0000)  2 O 1.81
I (0.0000, 0.5000, 0.0000)  2 Zn 2.91

***

Least stable structure: *b*

***

*a*
Compound: ZrSeI2O
Source: Alexandria via LeMat-Bulk
Functional: GGA-PBE
Structure: optimized geometry

V (Å³/atom): 28.22

Lattice parameters (Å, degrees): 5.9212 5.9212 4.0240 90.00 90.00 90.00
With the nearest neighbours (Å) after each atom.
Sites, in units of the cell vectors:
I (0.0000, 0.5000, 0.0000)  2 Zr 2.96
I (0.5000, 0.0000, 0.0000)  2 Zr 2.96
Zr (0.0000, 0.0000, 0.0000)  2 O 2.01
Se (0.5000, 0.5000, 0.5000)  8 I 3.58
O (0.0000, 0.0000, 0.5000)  2 Zr 2.01

***

*b*
Compound: ZrSeI2O
Source: Alexandria via LeMat-Bulk
Functional: GGA-PBE
Structure: optimized geometry

V (Å³/atom): 25.60

Lattice parameters (Å, degrees): 5.8165 5.8165 3.7836 90.00 90.00 90.00
With the nearest neighbours (Å) after each atom.
Sites, in units of the cell vectors:
Zr (0.5000, 0.5000, 0.5000)  8 I 3.47, 2 Zr 3.78
Se (0.0000, 0.0000, 0.0000)  2 O 1.89
I (0.0000, 0.5000, 0.0000)  2 Se 2.91
O (0.0000, 0.0000, 0.5000)  2 Se 1.89
I (0.5000, 0.0000, 0.0000)  2 Se 2.91

***

Least stable structure: *b*

***

*a*
Compound: SiI2O2
Source: Alexandria via LeMat-Bulk
Functional: GGA-PBE
Structure: optimized geometry

V (Å³/atom): 18.99

Lattice parameters (Å, degrees): 3.9763 3.9763 6.0052 90.00 90.00 90.00
With the nearest neighbours (Å) after each atom.
Sites, in units of the cell vectors:
O (0.5000, 0.0000, 0.0000)  2 Si 1.99
I (0.0000, 0.0000, 0.5000)  4 I 2.81, 2 Si 3.00
Si (0.0000, 0.0000, 0.0000)  4 O 1.99
I (0.5000, 0.5000, 0.5000)  4 I 2.81
O (0.0000, 0.5000, 0.0000)  2 Si 1.99

***

*b*
Compound: SiI2O2
Source: Alexandria via LeMat-Bulk
Functional: GGA-PBE
Structure: optimized geometry

V (Å³/atom): 27.59

Lattice parameters (Å, degrees): 4.0926 4.0926 8.2353 90.00 90.00 90.00
With the nearest neighbours (Å) after each atom.
Sites, in units of the cell vectors:
I (0.0000, 0.0000, 0.5000)  4 Si 2.89
Si (0.5000, 0.5000, 0.5000)  4 I 2.89
O (0.5000, 0.0000, 0.0000)  2 I 2.05
I (0.0000, 0.0000, 0.0000)  4 O 2.05
O (0.0000, 0.5000, 0.0000)  2 I 2.05

***

Least stable structure: *b*

***

*a*
Compound: SiI2O2
Source: Alexandria via LeMat-Bulk
Functional: GGA-PBE
Structure: optimized geometry

V (Å³/atom): 20.33

Lattice parameters (Å, degrees): 5.5013 5.5013 3.3589 90.00 90.00 90.00
With the nearest neighbours (Å) after each atom.
Sites, in units of the cell vectors:
Si (0.0000, 0.0000, 0.0000)  2 O 1.68
O (0.5000, 0.5000, 0.5000)  8 I 3.22, 2 O 3.36
I (0.0000, 0.5000, 0.0000)  2 Si 2.75
I (0.5000, 0.0000, 0.0000)  2 Si 2.75
O (0.0000, 0.0000, 0.5000)  2 Si 1.68

***

*b*
Compound: SiI2O2
Source: Alexandria via LeMat-Bulk
Functional: GGA-PBE
Structure: optimized geometry

V (Å³/atom): 19.01

Lattice parameters (Å, degrees): 4.8545 4.8545 4.0328 90.00 90.00 90.00
With the nearest neighbours (Å) after each atom.
Sites, in units of the cell vectors:
Si (0.5000, 0.5000, 0.5000)  8 I 3.16, 4 O 3.43
I (0.0000, 0.5000, 0.0000)  2 O 2.43
I (0.5000, 0.0000, 0.0000)  2 O 2.43
O (0.0000, 0.0000, 0.0000)  2 O 2.02
O (0.0000, 0.0000, 0.5000)  2 O 2.02

***

Least stable structure: *b*

***

*a*
Compound: SiSnIO2
Source: Alexandria via LeMat-Bulk
Functional: GGA-PBE
Structure: optimized geometry

V (Å³/atom): 22.99

Lattice parameters (Å, degrees): 4.0375 4.0375 7.0517 90.00 90.00 90.00
With the nearest neighbours (Å) after each atom.
Sites, in units of the cell vectors:
Sn (0.0000, 0.0000, 0.0000)  4 O 2.02
Si (0.5000, 0.5000, 0.5000)  4 I 2.85
O (0.0000, 0.5000, 0.0000)  2 Sn 2.02
O (0.5000, 0.0000, 0.0000)  2 Sn 2.02
I (0.0000, 0.0000, 0.5000)  4 Si 2.85

***

*b*
Compound: SiSnIO2
Source: Alexandria via LeMat-Bulk
Functional: GGA-PBE
Structure: optimized geometry

V (Å³/atom): 17.59

Lattice parameters (Å, degrees): 4.0694 4.0694 5.3095 90.00 90.00 90.00
With the nearest neighbours (Å) after each atom.
Sites, in units of the cell vectors:
I (0.0000, 0.0000, 0.5000)  2 Si 2.65, 4 Sn 2.88
Sn (0.5000, 0.5000, 0.5000)  4 I 2.88
O (0.5000, 0.0000, 0.0000)  2 Si 2.03
O (0.0000, 0.5000, 0.0000)  2 Si 2.03
Si (0.0000, 0.0000, 0.0000)  4 O 2.03

***

Least stable structure: *a*

***

*a*
Compound: SiSnI2O
Source: Alexandria via LeMat-Bulk
Functional: GGA-PBE
Structure: optimized geometry

V (Å³/atom): 29.75

Lattice parameters (Å, degrees): 6.0883 6.0883 4.0129 90.00 90.00 90.00
With the nearest neighbours (Å) after each atom.
Sites, in units of the cell vectors:
I (0.0000, 0.5000, 0.0000)  2 Sn 3.04
I (0.5000, 0.0000, 0.0000)  2 Sn 3.04
O (0.0000, 0.0000, 0.5000)  2 Sn 2.01
Sn (0.0000, 0.0000, 0.0000)  2 O 2.01
Si (0.5000, 0.5000, 0.5000)  8 I 3.65, 2 Si 4.01

***

*b*
Compound: SiSnI2O
Source: Alexandria via LeMat-Bulk
Functional: GGA-PBE
Structure: optimized geometry

V (Å³/atom): 25.25

Lattice parameters (Å, degrees): 5.9390 5.9390 3.5790 90.00 90.00 90.00
With the nearest neighbours (Å) after each atom.
Sites, in units of the cell vectors:
Sn (0.5000, 0.5000, 0.5000)  8 I 3.47, 2 Sn 3.58
I (0.5000, 0.0000, 0.0000)  2 Si 2.97
I (0.0000, 0.5000, 0.0000)  2 Si 2.97
O (0.0000, 0.0000, 0.5000)  2 Si 1.79
Si (0.0000, 0.0000, 0.0000)  2 O 1.79

***

Least stable structure: *a*

***

*a*
Compound: SrSiI2O
Source: Alexandria via LeMat-Bulk
Functional: GGA-PBE
Structure: optimized geometry

V (Å³/atom): 34.67

Lattice parameters (Å, degrees): 6.3645 6.3645 4.2800 90.00 90.00 90.00
With the nearest neighbours (Å) after each atom.
Sites, in units of the cell vectors:
Si (0.5000, 0.5000, 0.5000)  8 I 3.83, 2 Si 4.28
I (0.5000, 0.0000, 0.0000)  2 Sr 3.18
O (0.0000, 0.0000, 0.5000)  2 Sr 2.14
I (0.0000, 0.5000, 0.0000)  2 Sr 3.18
Sr (0.0000, 0.0000, 0.0000)  2 O 2.14

***

*b*
Compound: SrSiI2O
Source: Alexandria via LeMat-Bulk
Functional: GGA-PBE
Structure: optimized geometry

V (Å³/atom): 27.31

Lattice parameters (Å, degrees): 6.0533 6.0533 3.7265 90.00 90.00 90.00
With the nearest neighbours (Å) after each atom.
Sites, in units of the cell vectors:
Si (0.0000, 0.0000, 0.0000)  2 O 1.86
I (0.5000, 0.0000, 0.0000)  2 Si 3.03
O (0.0000, 0.0000, 0.5000)  2 Si 1.86
I (0.0000, 0.5000, 0.0000)  2 Si 3.03
Sr (0.5000, 0.5000, 0.5000)  8 I 3.55, 2 Sr 3.73

***

Least stable structure: *a*